# 1
# P3WO, relaxed, DFT PBEsol
data_P3WO
_cell_length_a 3.984
_cell_length_b 3.984
_cell_length_c 3.984
_cell_angle_alpha 90.00
_cell_angle_beta 90.00
_cell_angle_gamma 90.00
_space_group_name_H-M_alt 'P m -3 m'
_space_group_IT_number 221
_space_group_name_Hall '-P 4 2 3'
loop_
_atom_site_label
_atom_site_fract_x
_atom_site_fract_y
_atom_site_fract_z
P1 0.000 0.000 0.500
W1 0.500 0.500 0.500
O1 0.000 0.000 0.000
# formation energy without anion corrections = 0.52 eV per atom
# calculated total energy = -6.770 eV/atom
# DOS(E_F) = 3.3 states/eV per cell

# 2
# P2W2O11, relaxed, DFT PBEsol
data_P2W2O11
_cell_length_a 15.913
_cell_length_b 6.280
_cell_length_c 8.057
_cell_angle_alpha 90.00
_cell_angle_beta 90.00
_cell_angle_gamma 90.00
_space_group_name_H-M_alt 'P n m a'
_space_group_IT_number 62
loop_
_space_group_symop_operation_xyz
'x,y,z'
'-x,-y,-z'
'-x+1/2,-y,z+1/2'
'x+1/2,y,-z+1/2'
'x+1/2,-y+1/2,-z+1/2'
'-x+1/2,y+1/2,z+1/2'
'-x,y+1/2,-z'
'x,-y+1/2,z'
loop_
_atom_site_label
_atom_site_fract_x
_atom_site_fract_y
_atom_site_fract_z
P1 0.085 0.250 0.090
P2 0.244 0.750 0.999
W1 0.062 0.750 0.233
W2 0.199 0.750 0.593
O1 0.010 0.250 0.610
O2 0.019 0.250 0.952
O3 0.069 0.056 0.205
O4 0.105 0.750 0.694
O5 0.152 0.750 0.037
O6 0.158 0.750 0.372
O7 0.172 0.250 0.016
O8 0.210 0.056 0.577
O9 0.239 0.250 0.311
# formation energy without anion corrections = -2.13 eV per atom
# calculated total energy = -8.597 eV/atom
# DOS(E_F) = 0.0 states/eV per cell